The following is a PBE-GGA calculation of an optimized crystal structure of PdS2NF, from Alexandria.

```
data_PdS2NF
_space_group_name_H-M_alt 'P 4/m m m'
_space_group_IT_number 123
_space_group_name_Hall '-P 4 2'
_cell_length_a 4.947
_cell_length_b 4.947
_cell_length_c 3.716
_cell_angle_alpha 90.00
_cell_angle_beta 90.00
_cell_angle_gamma 90.00
loop_
_atom_site_label
_atom_site_fract_x
_atom_site_fract_y
_atom_site_fract_z
_atom_site_occupancy
Pd1 0.000 0.000 0.000 1
S1 0.000 0.500 0.000 1
N1 0.000 0.000 0.500 1
F1 0.500 0.500 0.500 1
```

## Properties
Raw formation energy ... 1.04 eV per atom
Polymorph energy (0 for the lowest one) ... 0.0 meV per atom